1.
A plane-wave DFT calculation with GGA-PBE was carried out for a relaxed GaCo2IrC crystal.

Formation enthalpy at 0 K: 0.013 eV per atom

a b c (Å): 3.7852 3.7852 4.0373
angles (deg): 90.00 90.00 90.00
Positions (direct):
Ga  0.0000  0.0000  0.0000
Co  0.0000  0.5000  0.5000
Co  0.5000  0.0000  0.5000
Ir  0.5000  0.5000  0.0000
C  0.5000  0.5000  0.5000



2.
A plane-wave DFT calculation with GGA-PBE was carried out for a relaxed AgBP3 crystal.

Formation enthalpy at 0 K: 0.878 eV per atom
Distance to the lowest polymorph of the same formula: 0.0 meV/atom

a b c (Å): 4.1809 4.1809 4.1809
angles (deg): 90.00 90.00 90.00
Positions (direct):
Ag  0.0000  0.0000  0.0000
B  0.5000  0.5000  0.5000
P  0.0000  0.5000  0.5000
P  0.5000  0.0000  0.5000
P  0.5000  0.5000  0.0000



3.
A plane-wave DFT calculation with GGA-PBE was carried out for a relaxed Ni3WC crystal.

Formation enthalpy at 0 K: 2.711 eV per atom
Distance to the lowest polymorph of the same formula: 2203.9 meV/atom

a b c (Å): 4.4823 4.4823 4.4823
angles (deg): 90.00 90.00 90.00
Positions (direct):
Ni  0.0000  0.0000  0.5000
Ni  0.0000  0.5000  0.0000
Ni  0.5000  0.0000  0.0000
W  0.0000  0.0000  0.0000
C  0.5000  0.5000  0.5000



4.
A plane-wave DFT calculation with GGA-PBE was carried out for a relaxed Na2ScS crystal.

Uncorrected formation energy: -0.416 eV per atom

a b c (Å): 9.7168 9.7168 4.9300
angles (deg): 90.00 90.00 90.00
Positions (direct):
Na  0.1424  0.7500  0.1250
Na  0.2500  0.1424  0.8750
Na  0.2500  0.3576  0.3750
Na  0.3576  0.7500  0.6250
Na  0.6424  0.2500  0.6250
Na  0.7500  0.6424  0.3750
Na  0.7500  0.8576  0.8750
Na  0.8576  0.2500  0.1250
Sc  0.0000  0.0000  0.5000
Sc  0.0000  0.5000  0.7500
Sc  0.5000  0.0000  0.2500
Sc  0.5000  0.5000  0.0000
S  0.0000  0.0000  0.0000
S  0.0000  0.5000  0.2500
S  0.5000  0.0000  0.7500
S  0.5000  0.5000  0.5000



5.
A plane-wave DFT calculation with GGA-PBE was carried out for a relaxed TcBiRh2Au crystal.

Formation enthalpy at 0 K: 1.081 eV per atom

a b c (Å): 4.6744 4.6744 5.2308
angles (deg): 90.00 90.00 90.00
Positions (direct):
Tc  0.0000  0.0000  0.0000
Bi  0.0000  0.0000  0.5000
Rh  0.0000  0.5000  0.0000
Rh  0.5000  0.0000  0.0000
Au  0.5000  0.5000  0.5000



6.
A plane-wave DFT calculation with GGA-PBE was carried out for a relaxed Na4PmHg15 crystal.

Formation enthalpy at 0 K: -0.223 eV per atom

a b c (Å): 4.6907 4.6907 23.3206
angles (deg): 90.00 90.00 90.00
Positions (direct):
Na  0.0000  0.0000  0.1003
Na  0.0000  0.0000  0.2994
Na  0.0000  0.0000  0.7006
Na  0.0000  0.0000  0.8997
Pm  0.0000  0.0000  0.5000
Hg  0.0000  0.5000  0.0000
Hg  0.0000  0.5000  0.2008
Hg  0.0000  0.5000  0.3999
Hg  0.0000  0.5000  0.6001
Hg  0.0000  0.5000  0.7992
Hg  0.5000  0.0000  0.0000
Hg  0.5000  0.0000  0.2008
Hg  0.5000  0.0000  0.3999
Hg  0.5000  0.0000  0.6001
Hg  0.5000  0.0000  0.7992
Hg  0.5000  0.5000  0.1004
Hg  0.5000  0.5000  0.3026
Hg  0.5000  0.5000  0.5000
Hg  0.5000  0.5000  0.6974
Hg  0.5000  0.5000  0.8996



The records above give, respectively, magnetization values of 0.00, 0.00, 0.00, 0.00, 0.00, 0.00 μB/f.u..
The records above give, respectively, V values of 11.6, 14.6, 18.0, 29.1, 22.9, 25.7 Å³/atom.